(1)
# NaAc2In4Ag3 | Alexandria via LeMat-Bulk | GGA-PBE | optimized geometry
data_NaAc2In4Ag3
_chemical_formula_sum 'Na1 Ac2 In4 Ag3'
_cell_length_a 4.6408
_cell_length_b 4.6408
_cell_length_c 12.5871
_cell_angle_alpha 90.00
_cell_angle_beta 90.00
_cell_angle_gamma 90.00
_space_group_name_H-M_alt 'P -4 m 2'
_space_group_IT_number 115
_space_group_name_Hall 'P -4 -2'
loop_
_atom_site_label
_atom_site_fract_x
_atom_site_fract_y
_atom_site_fract_z
_atom_site_occupancy
Na1 0.0000 0.0000 0.0000 1
Ac1 0.0000 0.5000 0.7338 1
In1 0.0000 0.0000 0.5000 1
In2 0.0000 0.5000 0.1463 1
In3 0.5000 0.5000 0.5000 1
Ag1 0.0000 0.5000 0.3661 1
Ag2 0.5000 0.5000 0.0000 1
# E_form	-0.2626	eV per atom
# magnetization	0.00	μB per cell

=====

(2)
# AcNd2In2Ag2 | Alexandria via LeMat-Bulk | GGA-PBE | optimized geometry
data_AcNd2In2Ag2
_chemical_formula_sum 'Ac3 Nd6 In6 Ag6'
_cell_length_a 4.9625
_cell_length_b 4.9625
_cell_length_c 28.7569
_cell_angle_alpha 90.00
_cell_angle_beta 90.00
_cell_angle_gamma 120.00
_space_group_name_H-M_alt 'R -3 m'
_space_group_IT_number 166
_space_group_name_Hall '-R 3 2"'
loop_
_atom_site_label
_atom_site_fract_x
_atom_site_fract_y
_atom_site_fract_z
_atom_site_occupancy
Ac1 0.0000 0.0000 0.0000 1
Nd1 0.0000 0.0000 0.1282 1
In1 0.0000 0.0000 0.2551 1
Ag1 0.0000 0.0000 0.4078 1
# E_form	-0.3234	eV per atom
# magnetization	0.00	μB per cell

=====

(3)
# Ac2NdIn4Ag3 | Alexandria via LeMat-Bulk | GGA-PBE | optimized geometry
data_Ac2NdIn4Ag3
_chemical_formula_sum 'Ac2 Nd1 In4 Ag3'
_cell_length_a 4.6640
_cell_length_b 4.6640
_cell_length_c 12.9958
_cell_angle_alpha 90.00
_cell_angle_beta 90.00
_cell_angle_gamma 90.00
_space_group_name_H-M_alt 'P -4 m 2'
_space_group_IT_number 115
_space_group_name_Hall 'P -4 -2'
loop_
_atom_site_label
_atom_site_fract_x
_atom_site_fract_y
_atom_site_fract_z
_atom_site_occupancy
Ac1 0.0000 0.5000 0.2279 1
Nd1 0.0000 0.0000 0.5000 1
In1 0.0000 0.0000 0.0000 1
In2 0.0000 0.5000 0.6605 1
In3 0.5000 0.5000 0.0000 1
Ag1 0.0000 0.5000 0.8713 1
Ag2 0.5000 0.5000 0.5000 1
# E_form	-0.3137	eV per atom
# magnetization	0.00	μB per cell

=====

(4)
# AcInAgO4 | Alexandria via LeMat-Bulk | GGA-PBE | optimized geometry
data_AcInAgO4
_chemical_formula_sum 'Ac4 In4 Ag4 O16'
_cell_length_a 6.5581
_cell_length_b 9.7239
_cell_length_c 7.7122
_cell_angle_alpha 90.00
_cell_angle_beta 90.00
_cell_angle_gamma 90.00
_space_group_name_H-M_alt 'C m c m'
_space_group_IT_number 63
_space_group_name_Hall '-C 2c 2'
loop_
_atom_site_label
_atom_site_fract_x
_atom_site_fract_y
_atom_site_fract_z
_atom_site_occupancy
Ac1 0.0000 0.0000 0.0000 1
In1 0.0000 0.3611 0.2500 1
Ag1 0.0000 0.3115 0.7500 1
O1 0.0000 0.2549 0.0158 1
O2 0.2477 0.0069 0.7500 1
# formation energy from raw total energies	-1.598	eV per atom
# magnetization	0.00	μB per cell